(1)
A plane-wave DFT calculation with PBE was carried out for a geometry-optimized Zr3Fe structure.

## Properties
volume	80.18	Å³ per cell
formation energy	-42	meV per atom
total magnetization	0.00	μB per cell

Cell: 5.268 5.701 3.171 Å, 73.85 90.00 117.52°
Positions (direct):
Fe: 0.023 0.000 0.000
Zr: 0.667 0.599 0.700
Zr: 0.409 0.000 0.500
Zr: 0.067 0.401 0.300



(2)
A plane-wave DFT calculation with PBE was carried out for a geometry-optimized Zr4Fe5 structure.

## Properties
volume	144.90	Å³ per cell
formation energy	15	meV per atom
total magnetization	6.98	μB per cell
ΔE to the lowest computed polymorph	0.0000	eV per atom

Cell: 6.201 6.201 6.201 Å, 96.84 96.84 139.64°
Positions (direct):
Fe: 0.650 0.650 0.299
Fe: 0.350 0.650 0.000
Fe: 0.650 0.350 0.000
Fe: 0.350 0.350 0.701
Fe: 0.000 0.000 0.000
Zr: 0.700 0.000 0.700
Zr: 0.000 0.700 0.700
Zr: 0.000 0.300 0.300
Zr: 0.300 0.000 0.300



(3)
A plane-wave DFT calculation with PBE was carried out for a geometry-optimized ZrFe structure.

## Properties
volume	274.35	Å³ per cell
formation energy	37	meV per atom
total magnetization	9.93	μB per cell

Cell: 7.789 7.789 4.522 Å, 90.00 90.00 90.00°
Positions (direct):
Zr: 0.000 0.294 0.500
Zr: 0.500 0.206 0.000
Zr: 0.706 0.000 0.500
Zr: 0.206 0.500 0.000
Zr: 0.000 0.706 0.500
Zr: 0.294 0.000 0.500
Zr: 0.794 0.500 0.000
Zr: 0.500 0.794 0.000
Fe: 0.653 0.653 0.500
Fe: 0.653 0.347 0.500
Fe: 0.847 0.153 0.000
Fe: 0.347 0.347 0.500
Fe: 0.153 0.847 0.000
Fe: 0.347 0.653 0.500
Fe: 0.153 0.153 0.000
Fe: 0.847 0.847 0.000



(4)
A plane-wave DFT calculation with PBE was carried out for a geometry-optimized Zr2Fe structure.

## Properties
volume	115.49	Å³ per cell
formation energy	59	meV per atom
total magnetization	1.99	μB per cell

Cell: 5.658 5.658 6.776 Å, 78.39 78.39 32.99°
Positions (direct):
Fe: 0.344 0.344 0.289
Fe: 0.002 0.002 0.056
Zr: 0.630 0.630 0.257
Zr: 0.911 0.911 0.542
Zr: 0.325 0.325 0.940
Zr: 0.622 0.622 0.749



(5)
A plane-wave DFT calculation with PBE was carried out for a geometry-optimized Zr6Fe7 structure.

## Properties
volume	208.41	Å³ per cell
formation energy	-174	meV per atom
total magnetization	9.96	μB per cell

Cell: 9.929 9.929 9.929 Å, 29.37 29.37 29.37°
Positions (direct):
Zr: 0.050 0.050 0.050
Zr: 0.950 0.950 0.950
Zr: 0.667 0.667 0.667
Zr: 0.333 0.333 0.333
Zr: 0.152 0.152 0.152
Zr: 0.848 0.848 0.848
Fe: 0.904 0.406 0.406
Fe: 0.406 0.904 0.406
Fe: 0.594 0.594 0.096
Fe: 0.406 0.406 0.904
Fe: 0.594 0.096 0.594
Fe: 0.096 0.594 0.594
Fe: 0.500 0.500 0.500



(6)
A plane-wave DFT calculation with PBE was carried out for a geometry-optimized Zr7Fe6 structure.

## Properties
volume	249.52	Å³ per cell
formation energy	594	meV per atom
total magnetization	11.85	μB per cell

Cell: 9.131 9.131 9.131 Å, 37.21 37.21 37.21°
Positions (direct):
Fe: 0.857 0.857 0.857
Fe: 0.951 0.951 0.951
Fe: 0.333 0.333 0.333
Fe: 0.143 0.143 0.143
Fe: 0.049 0.049 0.049
Fe: 0.667 0.667 0.667
Zr: 0.072 0.583 0.583
Zr: 0.928 0.417 0.417
Zr: 0.583 0.072 0.583
Zr: 0.417 0.928 0.417
Zr: 0.583 0.583 0.072
Zr: 0.500 0.500 0.500
Zr: 0.417 0.417 0.928



(7)
A plane-wave DFT calculation with PBE was carried out for a geometry-optimized Zr2Fe structure.

## Properties
volume	121.01	Å³ per cell
formation energy	56	meV per atom
total magnetization	0.00	μB per cell

Cell: 4.081 4.746 6.247 Å, 90.00 90.00 90.00°
Positions (direct):
Fe: 0.000 0.000 0.000
Fe: 0.500 0.500 0.500
Zr: 0.500 0.000 0.250
Zr: 0.500 0.000 0.750
Zr: 0.000 0.500 0.250
Zr: 0.000 0.500 0.750



(8)
A plane-wave DFT calculation with PBE was carried out for a geometry-optimized Zr3Fe structure.

## Properties
volume	158.49	Å³ per cell
formation energy	38	meV per atom
total magnetization	0.32	μB per cell

Cell: 6.194 6.194 4.285 Å, 90.00 90.00 105.40°
Positions (direct):
Zr: 0.892 0.108 0.250
Zr: 0.831 0.589 0.250
Zr: 0.589 0.831 0.750
Zr: 0.411 0.169 0.250
Zr: 0.108 0.892 0.750
Zr: 0.169 0.411 0.750
Fe: 0.379 0.621 0.250
Fe: 0.621 0.379 0.750



(9)
A plane-wave DFT calculation with PBE was carried out for a geometry-optimized ZrFe3 structure.

## Properties
volume	56.32	Å³ per cell
formation energy	18	meV per atom
total magnetization	5.97	μB per cell

Cell: 3.108 3.108 5.831 Å, 90.00 90.00 89.99°
Positions (direct):
Fe: 0.000 0.000 0.527
Fe: 0.000 0.000 0.973
Fe: 0.500 0.500 0.750
Zr: 0.500 0.500 0.250



(10)
A plane-wave DFT calculation with PBE was carried out for a geometry-optimized Zr2Fe structure.

## Properties
volume	240.48	Å³ per cell
formation energy	58	meV per atom
total magnetization	0.00	μB per cell

Cell: 6.219 6.219 6.219 Å, 90.00 90.00 90.00°
Positions (direct):
Fe: 0.500 0.000 0.500
Fe: 0.500 0.500 0.000
Fe: 0.000 0.500 0.500
Fe: 0.000 0.000 0.000
Zr: 0.832 0.332 0.168
Zr: 0.832 0.168 0.668
Zr: 0.668 0.668 0.668
Zr: 0.332 0.332 0.332
Zr: 0.168 0.668 0.832
Zr: 0.168 0.832 0.332
Zr: 0.668 0.832 0.168
Zr: 0.332 0.168 0.832



(11)
A plane-wave DFT calculation with PBE was carried out for a geometry-optimized Zr2Fe3 structure.

## Properties
volume	78.44	Å³ per cell
formation energy	18	meV per atom
total magnetization	2.07	μB per cell

Cell: 6.099 6.099 6.099 Å, 38.34 38.34 38.34°
Positions (direct):
Fe: 0.841 0.841 0.841
Fe: 0.000 0.000 0.000
Fe: 0.159 0.159 0.159
Zr: 0.403 0.403 0.403
Zr: 0.597 0.597 0.597



(12)
A plane-wave DFT calculation with PBE was carried out for a geometry-optimized Zr3Fe structure.

## Properties
volume	323.64	Å³ per cell
formation energy	-104	meV per atom
total magnetization	0.00	μB per cell

Cell: 6.224 9.030 5.759 Å, 90.00 90.00 90.00°
Positions (direct):
Zr: 0.318 0.938 0.832
Zr: 0.818 0.562 0.668
Zr: 0.960 0.750 0.146
Zr: 0.540 0.250 0.646
Zr: 0.182 0.438 0.332
Zr: 0.182 0.062 0.332
Zr: 0.682 0.062 0.168
Zr: 0.682 0.438 0.168
Zr: 0.818 0.938 0.668
Zr: 0.318 0.562 0.832
Zr: 0.040 0.250 0.854
Zr: 0.460 0.750 0.354
Fe: 0.888 0.250 0.428
Fe: 0.112 0.750 0.572
Fe: 0.388 0.250 0.072
Fe: 0.612 0.750 0.928